[1]
Density functional theory data (PBE) for an optimized crystal structure of Ce7TlHg4.

Output
Energy relative to the elements   -0.11 eV per atom
E   -3.8666 eV per atom
Symmetry   C2/m, No. 12
Magnetization   6.80 μB per cell
DOS(E_F)   33.48 states/eV/f.u.
Theoretical density   9.628 g/cm³

Cell lengths 7.9642, 7.9642, 9.0987 Å; angles 118.02, 118.02, 43.52 degrees
Closest atoms and distances in Å follow each position.
Sites, in units of the cell vectors:
Ce 0.0000 0.0000 0.0000  2 Tl 2.95, 4 Hg 3.08-3.09
Ce 0.2482 0.2482 0.7364  1 Ce 2.82, 2 Hg 3.00-3.14
Ce 0.2944 0.2944 0.0774  1 Ce 2.82
Ce 0.4430 0.4430 0.5841  1 Ce 2.79
Ce 0.5570 0.5570 0.4159  1 Ce 2.79
Ce 0.7056 0.7056 0.9226  1 Ce 2.82
Ce 0.7518 0.7518 0.2636  1 Ce 2.82, 2 Hg 3.00-3.14
Tl 0.5000 0.5000 0.0000  4 Ce 2.95-3.25
Hg 0.0329 0.0329 0.6910  4 Ce 3.00-3.18, 2 Hg 3.10-3.21
Hg 0.1978 0.1978 0.3569  5 Ce 3.08-3.28, 1 Hg 3.21
Hg 0.8022 0.8022 0.6431  5 Ce 3.08-3.28, 1 Hg 3.21
Hg 0.9671 0.9671 0.3090  4 Ce 3.00-3.18, 2 Hg 3.10-3.21

[2]
Density functional theory data (PBE) for an optimized crystal structure of CeTlHg.

Output
Energy relative to the elements   -0.24 eV per atom
E   -3.1088 eV per atom
Symmetry   P3m1, No. 156
Magnetization   1.44 μB per cell
E above lowest polymorph   0.20 eV/f.u.
DOS(E_F)   6.90 states/eV/f.u.
Theoretical density   11.140 g/cm³

Cell lengths 5.1348, 5.1348, 3.5584 Å; angles 90.00, 90.00, 120.00 degrees
Closest atoms and distances in Å follow each position.
Sites, in units of the cell vectors:
Ce 0.0000 0.0000 0.0000  6 Hg 3.37-3.55, 6 Tl 3.39-3.53, 2 Ce 3.56
Tl 0.3333 0.6667 0.4629  3 Hg 2.98
Hg 0.6667 0.3333 0.5499  3 Tl 2.98

[3]
Density functional theory data (PBE) for an optimized crystal structure of CeTlHg.

Output
Energy relative to the elements   -0.18 eV per atom
E   -3.0447 eV per atom
Symmetry   I4mm, No. 107
Magnetization   1.43 μB per cell
E above lowest polymorph   0.39 eV/f.u.
DOS(E_F)   7.90 states/eV/f.u.
Theoretical density   10.900 g/cm³

Cell lengths 6.6314, 6.6314, 6.6314 Å; angles 147.69, 147.69, 46.35 degrees
Closest atoms and distances in Å follow each position.
Sites, in units of the cell vectors:
Ce 0.0000 0.0000 0.0000  4 Hg 3.27, 4 Tl 3.42
Tl 0.6819 0.6819 0.0000  4 Hg 3.23, 4 Ce 3.42
Hg 0.3381 0.3381 0.0000  4 Tl 3.23, 4 Ce 3.27

[4]
Density functional theory data (PBE) for an optimized crystal structure of Ce2TlHg.

Output
Energy relative to the elements   -0.27 eV per atom
E   -3.9007 eV per atom
Symmetry   P4/mmm, No. 123
Magnetization   2.30 μB per cell
DOS(E_F)   12.35 states/eV/f.u.
Theoretical density   10.435 g/cm³

Cell lengths 4.8298, 4.8298, 4.6743 Å; angles 90.00, 90.00, 90.00 degrees
Closest atoms and distances in Å follow each position.
Sites, in units of the cell vectors:
Ce 0.0000 0.5000 0.0000  4 Hg 3.36, 4 Tl 3.36, 4 Ce 3.42
Ce 0.5000 0.0000 0.0000  4 Hg 3.36, 4 Tl 3.36, 4 Ce 3.42
Tl 0.0000 0.0000 0.5000  8 Ce 3.36, 4 Hg 3.42
Hg 0.5000 0.5000 0.5000  8 Ce 3.36, 4 Tl 3.42